SbH2Os after structural relaxation, computed with GGA-PBEsol.

Lattice parameters (Å, degrees): 5.554 5.554 5.554 90.00 90.00 90.00
Positions (direct):
Sb (0.000, 0.000, 0.000)
Sb (0.000, 0.500, 0.500)
Sb (0.500, 0.000, 0.500)
Sb (0.500, 0.500, 0.000)
H (0.250, 0.250, 0.250)
H (0.250, 0.250, 0.750)
H (0.250, 0.750, 0.250)
H (0.250, 0.750, 0.750)
H (0.750, 0.250, 0.250)
H (0.750, 0.250, 0.750)
H (0.750, 0.750, 0.250)
H (0.750, 0.750, 0.750)
Os (0.000, 0.000, 0.500)
Os (0.000, 0.500, 0.000)
Os (0.500, 0.000, 0.000)
Os (0.500, 0.500, 0.500)

Properties
Total DFT energy (no corrections) ... -75.3 eV/cell
SG ... No. 225

=====

Sc2H2Os after structural relaxation, computed with GGA-PBEsol.

Lattice parameters (Å, degrees): 3.173 3.173 11.584 90.00 90.00 90.00
Positions (direct):
Sc (0.000, 0.000, 0.138)
Sc (0.000, 0.000, 0.862)
Sc (0.500, 0.500, 0.362)
Sc (0.500, 0.500, 0.638)
H (0.000, 0.500, 0.250)
H (0.000, 0.500, 0.750)
H (0.500, 0.000, 0.250)
H (0.500, 0.000, 0.750)
Os (0.000, 0.000, 0.500)
Os (0.500, 0.500, 0.000)

Properties
Total DFT energy (no corrections) ... -69.4 eV/cell
SG ... No. 139

=====

Sc3HOs after structural relaxation, computed with GGA-PBEsol.

Lattice parameters (Å, degrees): 4.235 4.235 4.235 90.00 90.00 90.00
Positions (direct):
Sc (0.000, 0.000, 0.500)
Sc (0.000, 0.500, 0.000)
Sc (0.500, 0.000, 0.000)
H (0.000, 0.000, 0.000)
Os (0.500, 0.500, 0.500)

Properties
Total DFT energy (no corrections) ... -36.3 eV/cell
SG ... No. 221

=====

Sr2H6Os after structural relaxation, computed with GGA-PBEsol.

Lattice parameters (Å, degrees): 5.302 5.302 5.302 60.00 60.00 60.00
Positions (direct):
Sr (0.250, 0.250, 0.250)
Sr (0.750, 0.750, 0.750)
H (0.230, 0.230, 0.770)
H (0.230, 0.770, 0.230)
H (0.230, 0.770, 0.770)
H (0.770, 0.230, 0.230)
H (0.770, 0.230, 0.770)
H (0.770, 0.770, 0.230)
Os (0.000, 0.000, 0.000)

Properties
Total DFT energy (no corrections) ... -41.1 eV/cell
SG ... No. 225

=====

SrH3Os after structural relaxation, computed with GGA-PBEsol.

Lattice parameters (Å, degrees): 4.075 4.075 4.075 90.00 90.00 90.00
Positions (direct):
Sr (0.000, 0.000, 0.000)
H (0.000, 0.000, 0.500)
H (0.000, 0.500, 0.000)
H (0.500, 0.000, 0.000)
Os (0.500, 0.500, 0.500)

Properties
Total DFT energy (no corrections) ... -16.2 eV/cell
SG ... No. 221

=====

TaHOs3 after structural relaxation, computed with GGA-PBEsol.

Lattice parameters (Å, degrees): 3.934 3.934 3.934 90.00 90.00 90.00
Positions (direct):
Ta (0.000, 0.000, 0.000)
H (0.500, 0.500, 0.500)
Os (0.000, 0.500, 0.500)
Os (0.500, 0.000, 0.500)
Os (0.500, 0.500, 0.000)

Properties
Total DFT energy (no corrections) ... -52.9 eV/cell
SG ... No. 221

=====

Ta2H2Os after structural relaxation, computed with GGA-PBEsol.

Lattice parameters (Å, degrees): 2.966 2.966 12.356 90.00 90.00 90.00
Positions (direct):
Ta (0.000, 0.000, 0.143)
Ta (0.000, 0.000, 0.857)
Ta (0.500, 0.500, 0.357)
Ta (0.500, 0.500, 0.643)
H (0.000, 0.500, 0.250)
H (0.000, 0.500, 0.750)
H (0.500, 0.000, 0.250)
H (0.500, 0.000, 0.750)
Os (0.000, 0.000, 0.500)
Os (0.500, 0.500, 0.000)

Properties
Total DFT energy (no corrections) ... -90.4 eV/cell
SG ... No. 139

=====

Tc2H2Os after structural relaxation, computed with GGA-PBEsol.

Lattice parameters (Å, degrees): 2.824 2.824 11.862 90.00 90.00 90.00
Positions (direct):
Tc (0.000, 0.000, 0.151)
Tc (0.000, 0.000, 0.849)
Tc (0.500, 0.500, 0.349)
Tc (0.500, 0.500, 0.651)
H (0.000, 0.500, 0.250)
H (0.000, 0.500, 0.750)
H (0.500, 0.000, 0.250)
H (0.500, 0.000, 0.750)
Os (0.000, 0.000, 0.500)
Os (0.500, 0.500, 0.000)

Properties
Total DFT energy (no corrections) ... -81.9 eV/cell
SG ... No. 139

=====

TiH3Os after structural relaxation, computed with GGA-PBEsol.

Lattice parameters (Å, degrees): 3.440 3.440 3.440 90.00 90.00 90.00
Positions (direct):
Ti (0.000, 0.000, 0.000)
H (0.000, 0.500, 0.500)
H (0.500, 0.000, 0.500)
H (0.500, 0.500, 0.000)
Os (0.500, 0.500, 0.500)

Properties
Total DFT energy (no corrections) ... -30.1 eV/cell
SG ... No. 221

=====

Ti2H2Os after structural relaxation, computed with GGA-PBEsol.

Lattice parameters (Å, degrees): 2.993 2.993 11.113 90.00 90.00 90.00
Positions (direct):
Ti (0.000, 0.000, 0.142)
Ti (0.000, 0.000, 0.858)
Ti (0.500, 0.500, 0.358)
Ti (0.500, 0.500, 0.642)
H (0.000, 0.500, 0.250)
H (0.000, 0.500, 0.750)
H (0.500, 0.000, 0.250)
H (0.500, 0.000, 0.750)
Os (0.000, 0.000, 0.500)
Os (0.500, 0.500, 0.000)

Properties
Total DFT energy (no corrections) ... -76.7 eV/cell
SG ... No. 139

=====

TlH3Os after structural relaxation, computed with GGA-PBEsol.

Lattice parameters (Å, degrees): 3.769 3.769 3.769 90.00 90.00 90.00
Positions (direct):
Tl (0.000, 0.000, 0.000)
H (0.000, 0.000, 0.500)
H (0.000, 0.500, 0.000)
H (0.500, 0.000, 0.000)
Os (0.500, 0.500, 0.500)

Properties
Total DFT energy (no corrections) ... -15.7 eV/cell
SG ... No. 221

=====

V3HOs after structural relaxation, computed with GGA-PBEsol.

Lattice parameters (Å, degrees): 3.804 3.804 3.804 90.00 90.00 90.00
Positions (direct):
V (0.000, 0.000, 0.500)
V (0.000, 0.500, 0.000)
V (0.500, 0.000, 0.000)
H (0.000, 0.000, 0.000)
Os (0.500, 0.500, 0.500)

Properties
Total DFT energy (no corrections) ... -44.9 eV/cell
SG ... No. 221

=====

HOs2W after structural relaxation, computed with GGA-PBEsol.

Lattice parameters (Å, degrees): 5.916 5.916 5.916 90.00 90.00 90.00
Positions (direct):
H (0.000, 0.000, 0.000)
H (0.000, 0.500, 0.500)
H (0.500, 0.000, 0.500)
H (0.500, 0.500, 0.000)
Os (0.250, 0.250, 0.250)
Os (0.250, 0.250, 0.750)
Os (0.250, 0.750, 0.250)
Os (0.250, 0.750, 0.750)
Os (0.750, 0.250, 0.250)
Os (0.750, 0.250, 0.750)
Os (0.750, 0.750, 0.250)
Os (0.750, 0.750, 0.750)
W (0.000, 0.000, 0.500)
W (0.000, 0.500, 0.000)
W (0.500, 0.000, 0.000)
W (0.500, 0.500, 0.500)

Properties
Total DFT energy (no corrections) ... -154.3 eV/cell
SG ... No. 225

=====

H2OsW after structural relaxation, computed with GGA-PBEsol.

Lattice parameters (Å, degrees): 5.280 5.280 5.280 90.00 90.00 90.00
Positions (direct):
H (0.250, 0.250, 0.250)
H (0.250, 0.250, 0.750)
H (0.250, 0.750, 0.250)
H (0.250, 0.750, 0.750)
H (0.750, 0.250, 0.250)
H (0.750, 0.250, 0.750)
H (0.750, 0.750, 0.250)
H (0.750, 0.750, 0.750)
Os (0.000, 0.000, 0.000)
Os (0.000, 0.500, 0.500)
Os (0.500, 0.000, 0.500)
Os (0.500, 0.500, 0.000)
W (0.000, 0.000, 0.500)
W (0.000, 0.500, 0.000)
W (0.500, 0.000, 0.000)
W (0.500, 0.500, 0.500)

Properties
Total DFT energy (no corrections) ... -114.4 eV/cell
SG ... No. 225

=====

YH3Os after structural relaxation, computed with GGA-PBEsol.

Lattice parameters (Å, degrees): 3.623 3.623 3.623 90.00 90.00 90.00
Positions (direct):
Y (0.000, 0.000, 0.000)
H (0.000, 0.500, 0.500)
H (0.500, 0.000, 0.500)
H (0.500, 0.500, 0.000)
Os (0.500, 0.500, 0.500)

Properties
Total DFT energy (no corrections) ... -30.6 eV/cell
SG ... No. 221

=====

ZnH3Os after structural relaxation, computed with GGA-PBEsol.

Lattice parameters (Å, degrees): 3.429 3.429 3.429 90.00 90.00 90.00
Positions (direct):
Zn (0.000, 0.000, 0.000)
H (0.000, 0.500, 0.500)
H (0.500, 0.000, 0.500)
H (0.500, 0.500, 0.000)
Os (0.500, 0.500, 0.500)

Properties
Total DFT energy (no corrections) ... -21.9 eV/cell
SG ... No. 221

=====

Zr3HOs after structural relaxation, computed with GGA-PBEsol.

Lattice parameters (Å, degrees): 4.295 4.295 4.295 90.00 90.00 90.00
Positions (direct):
Zr (0.000, 0.000, 0.500)
Zr (0.000, 0.500, 0.000)
Zr (0.500, 0.000, 0.000)
H (0.000, 0.000, 0.000)
Os (0.500, 0.500, 0.500)

Properties
Total DFT energy (no corrections) ... -43.4 eV/cell
SG ... No. 221

=====

Zr2H2Os after structural relaxation, computed with GGA-PBEsol.

Lattice parameters (Å, degrees): 3.182 3.182 12.082 90.00 90.00 90.00
Positions (direct):
Zr (0.000, 0.000, 0.137)
Zr (0.000, 0.000, 0.863)
Zr (0.500, 0.500, 0.363)
Zr (0.500, 0.500, 0.637)
H (0.000, 0.500, 0.250)
H (0.000, 0.500, 0.750)
H (0.500, 0.000, 0.250)
H (0.500, 0.000, 0.750)
Os (0.000, 0.000, 0.500)
Os (0.500, 0.500, 0.000)

Properties
Total DFT energy (no corrections) ... -80.0 eV/cell
SG ... No. 139

=====

PH2PbS after structural relaxation, computed with GGA-PBEsol.

Lattice parameters (Å, degrees): 3.908 3.908 4.930 90.00 90.00 90.00
Positions (direct):
P (0.000, 0.000, 0.000)
H (0.000, 0.500, 0.000)
H (0.500, 0.000, 0.000)
Pb (0.500, 0.500, 0.500)
S (0.000, 0.000, 0.500)

Properties
Total DFT energy (no corrections) ... -19.3 eV/cell
SG ... No. 123

=====

PHPdS2 after structural relaxation, computed with GGA-PBEsol.

Lattice parameters (Å, degrees): 4.745 4.745 4.471 90.00 90.00 90.00
Positions (direct):
P (0.000, 0.000, 0.000)
H (0.500, 0.500, 0.000)
Pd (0.000, 0.000, 0.500)
S (0.000, 0.500, 0.500)
S (0.500, 0.000, 0.500)

Properties
Total DFT energy (no corrections) ... -18.0 eV/cell
SG ... No. 123

=====

PHPt3 after structural relaxation, computed with GGA-PBEsol.

Lattice parameters (Å, degrees): 3.979 3.979 3.979 90.00 90.00 90.00
Positions (direct):
P (0.000, 0.000, 0.000)
H (0.500, 0.500, 0.500)
Pt (0.000, 0.500, 0.500)
Pt (0.500, 0.000, 0.500)
Pt (0.500, 0.500, 0.000)

Properties
Total DFT energy (no corrections) ... -28.7 eV/cell
SG ... No. 221

=====

PHRhS2 after structural relaxation, computed with GGA-PBEsol.

Lattice parameters (Å, degrees): 4.295 4.295 3.203 90.00 90.00 90.00
Positions (direct):
P (0.000, 0.000, 0.000)
H (0.000, 0.000, 0.500)
Rh (0.500, 0.500, 0.000)
S (0.000, 0.500, 0.500)
S (0.500, 0.000, 0.500)

Properties
Total DFT energy (no corrections) ... -23.1 eV/cell
SG ... No. 123

=====

PHRu2 after structural relaxation, computed with GGA-PBEsol.

Lattice parameters (Å, degrees): 5.647 5.647 5.202 90.00 90.00 90.00
Positions (direct):
P (0.000, 0.000, 0.000)
P (0.000, 0.500, 0.250)
P (0.500, 0.000, 0.750)
P (0.500, 0.500, 0.500)
H (0.000, 0.000, 0.500)
H (0.000, 0.500, 0.750)
H (0.500, 0.000, 0.250)
H (0.500, 0.500, 0.000)
Ru (0.176, 0.250, 0.625)
Ru (0.250, 0.676, 0.875)
Ru (0.250, 0.824, 0.375)
Ru (0.324, 0.250, 0.125)
Ru (0.676, 0.750, 0.125)
Ru (0.750, 0.176, 0.375)
Ru (0.750, 0.324, 0.875)
Ru (0.824, 0.750, 0.625)

Properties
Total DFT energy (no corrections) ... -119.0 eV/cell
SG ... No. 122

=====

SiP2HS after structural relaxation, computed with GGA-PBEsol.

Lattice parameters (Å, degrees): 3.527 3.527 5.265 90.00 90.00 90.00
Positions (direct):
Si (0.000, 0.000, 0.000)
P (0.000, 0.500, 0.500)
P (0.500, 0.000, 0.500)
H (0.500, 0.500, 0.500)
S (0.500, 0.500, 0.000)

Properties
Total DFT energy (no corrections) ... -22.0 eV/cell
SG ... No. 123

=====

SnP2HS after structural relaxation, computed with GGA-PBEsol.

Lattice parameters (Å, degrees): 3.721 3.721 5.584 90.00 90.00 90.00
Positions (direct):
Sn (0.000, 0.000, 0.000)
P (0.000, 0.500, 0.500)
P (0.500, 0.000, 0.500)
H (0.500, 0.500, 0.500)
S (0.500, 0.500, 0.000)

Properties
Total DFT energy (no corrections) ... -21.2 eV/cell
SG ... No. 123

=====

TaPHS2 after structural relaxation, computed with GGA-PBEsol.

Lattice parameters (Å, degrees): 4.707 4.707 4.845 90.00 90.00 90.00
Positions (direct):
Ta (0.000, 0.000, 0.000)
P (0.000, 0.000, 0.500)
H (0.500, 0.500, 0.500)
S (0.000, 0.500, 0.000)
S (0.500, 0.000, 0.000)

Properties
Total DFT energy (no corrections) ... -28.3 eV/cell
SG ... No. 123

=====

SbTe2PH after structural relaxation, computed with GGA-PBEsol.

Lattice parameters (Å, degrees): 5.191 5.191 5.208 90.00 90.00 90.00
Positions (direct):
Sb (0.000, 0.000, 0.000)
Te (0.000, 0.500, 0.500)
Te (0.500, 0.000, 0.500)
P (0.000, 0.000, 0.500)
H (0.500, 0.500, 0.000)

Properties
Total DFT energy (no corrections) ... -15.8 eV/cell
SG ... No. 123

=====

ScP2H after structural relaxation, computed with GGA-PBEsol.

Lattice parameters (Å, degrees): 6.106 6.106 6.106 90.00 90.00 90.00
Positions (direct):
Sc (0.000, 0.000, 0.000)
Sc (0.000, 0.500, 0.500)
Sc (0.500, 0.000, 0.500)
Sc (0.500, 0.500, 0.000)
P (0.250, 0.250, 0.250)
P (0.250, 0.250, 0.750)
P (0.250, 0.750, 0.250)
P (0.250, 0.750, 0.750)
P (0.750, 0.250, 0.250)
P (0.750, 0.250, 0.750)
P (0.750, 0.750, 0.250)
P (0.750, 0.750, 0.750)
H (0.000, 0.000, 0.500)
H (0.000, 0.500, 0.000)
H (0.500, 0.000, 0.000)
H (0.500, 0.500, 0.500)

Properties
Total DFT energy (no corrections) ... -82.6 eV/cell
SG ... No. 225

=====

PH3Se after structural relaxation, computed with GGA-PBEsol.

Lattice parameters (Å, degrees): 3.633 3.633 3.633 90.00 90.00 90.00
Positions (direct):
P (0.000, 0.000, 0.000)
H (0.000, 0.500, 0.500)
H (0.500, 0.000, 0.500)
H (0.500, 0.500, 0.000)
Se (0.500, 0.500, 0.500)

Properties
Total DFT energy (no corrections) ... -14.8 eV/cell
SG ... No. 221